Compound: SrCrAsO6
Source: Alexandria
Functional: PBE with a Hubbard U
Structure: relaxed

Results
Raw total energy in eV/atom: -6.581
Space-group type: P312, No. 149

Structure (POSCAR):
```
SrCrAsO6
1.0
-4.907 -0.787 0.618
-1.624 -4.369 1.830
0.314 1.991 5.033
Sr O As Cr
1 6 1 1
direct
0.000 0.000 0.000
0.391 0.004 0.697
0.605 0.391 0.697
0.004 0.605 0.697
0.004 0.391 0.303
0.391 0.605 0.303
0.605 0.004 0.303
0.333 0.333 0.500
0.667 0.667 0.500
```